Density functional theory data (PBE) for a relaxed structure of Ho2Tm2Zn3.

Computed properties:
D(E_F) = 8.22 states/eV/cell
SG = No. 12
Magnetic moment = 0.0000 μB/atom
VASP energy = -3.3318 eV per atom
Formation enthalpy at 0 K = -0.200 eV/atom

Unit cell a=4.950 b=4.959 c=8.513 alpha=89.94 beta=106.84 gamma=120.14
Fractional positions:
Tm  0.243  0.622  0.866
Tm  0.757  0.378  0.134
Ho  0.255  0.127  0.381
Zn  0.504  0.252  0.758
Zn  0.496  0.748  0.242
Ho  0.745  0.873  0.619
Zn  0.000  0.000  0.000

---

Density functional theory data (PBE) for a relaxed structure of CrRhS2Cl.

Computed properties:
D(E_F) = 8.26 states/eV/cell
SG = No. 123
Magnetic moment = 0.0002 μB/atom
ΔE_f (raw) = 2.5 eV/f.u.
VASP energy = -4.9186 eV per atom
Relative energy among the computed polymorphs = 152 meV/atom

Unit cell a=4.405 b=4.405 c=4.620 alpha=90.00 beta=90.00 gamma=90.00
Fractional positions:
Rh  0.500  0.500  0.500
S  0.500  0.000  0.000
Cl  0.000  0.000  0.500
S  0.000  0.500  0.000
Cr  0.000  0.000  0.000

---

Density functional theory data (PBE) for a relaxed structure of Re2IrRu.

Computed properties:
D(E_F) = 3.86 states/eV/cell
SG = No. 99
Magnetic moment = 0.0000 μB/atom
VASP energy = -10.7938 eV per atom
Formation enthalpy at 0 K = -0.035 eV/atom
Relative energy among the computed polymorphs = 175 meV/atom

Unit cell a=2.738 b=2.738 c=7.826 alpha=90.00 beta=90.00 gamma=90.00
Fractional positions:
Re  0.000  0.000  0.992
Re  0.500  0.500  0.261
Ru  0.000  0.000  0.492
Ir  0.500  0.500  0.755

---

Density functional theory data (PBE) for a relaxed structure of B2H6Ru.

Computed properties:
D(E_F) = 1.18 states/eV/cell
SG = No. 225
Magnetic moment = 0.0000 μB/atom
VASP energy = -3.8789 eV per atom
Relative energy among the computed polymorphs = 738 meV/atom

Unit cell a=4.082 b=4.082 c=4.082 alpha=60.00 beta=60.00 gamma=60.00
Fractional positions:
H  0.294  0.294  0.706
B  0.750  0.750  0.750
H  0.294  0.706  0.294
H  0.706  0.294  0.706
H  0.706  0.294  0.294
Ru  0.000  0.000  0.000
B  0.250  0.250  0.250
H  0.706  0.706  0.294
H  0.294  0.706  0.706

---

Density functional theory data (PBE) for a relaxed structure of DyErIn.

Computed properties:
D(E_F) = 7.06 states/eV/cell
SG = No. 65
Magnetic moment = 0.3194 μB/atom
VASP energy = -3.7479 eV per atom
Formation enthalpy at 0 K = 0.220 eV/atom
Relative energy among the computed polymorphs = 534 meV/atom

Unit cell a=5.010 b=6.622 c=6.622 alpha=90.75 beta=90.00 gamma=90.00
Last column: magnetic moment on the atom in μB.
Fractional positions:
In  0.500  0.500  0.500  -0.02
In  0.000  0.000  0.000  -0.02
Er  0.000  0.317  0.317  0.25
Dy  0.500  0.816  0.184  0.26
Dy  0.500  0.184  0.816  0.26
Er  0.000  0.683  0.683  0.25

---

Density functional theory data (PBE) for a relaxed structure of Pm2Pd15Pt2.

Computed properties:
D(E_F) = 24.20 states/eV/cell
SG = No. 166
Magnetic moment = 0.0000 μB/atom
VASP energy = -5.5414 eV per atom
Formation enthalpy at 0 K = -0.306 eV/atom

Unit cell a=6.967 b=6.967 c=6.967 alpha=82.25 beta=82.25 gamma=82.25
Fractional positions:
Pd  0.000  0.500  0.000
Pd  0.842  0.350  0.350
Pm  0.670  0.670  0.670
Pd  0.350  0.842  0.350
Pd  0.500  0.000  0.000
Pd  0.302  0.000  0.698
Pd  0.698  0.302  0.000
Pd  0.000  0.698  0.302
Pt  0.102  0.102  0.102
Pd  0.302  0.698  0.000
Pt  0.898  0.898  0.898
Pd  0.000  0.302  0.698
Pm  0.330  0.330  0.330
Pd  0.698  0.000  0.302
Pd  0.158  0.650  0.650
Pd  0.650  0.650  0.158
Pd  0.000  0.000  0.500
Pd  0.650  0.158  0.650
Pd  0.350  0.350  0.842

---

Density functional theory data (PBE) for a relaxed structure of Sr2CeCl6.

Computed properties:
D(E_F) = 24.52 states/eV/cell
SG = No. 136
Magnetic moment = 0.2217 μB/atom
ΔE_f (raw) = -19.9 eV/f.u.
VASP energy = -4.4756 eV per atom

Unit cell a=6.785 b=6.785 c=13.407 alpha=90.00 beta=90.00 gamma=90.00
Last column: magnetic moment on the atom in μB.
Fractional positions:
Ce  0.500  0.500  0.500  1.52
Cl  0.804  0.196  0.833  0.00
Sr  0.000  0.000  0.332  0.02
Cl  0.304  0.304  0.333  0.00
Ce  0.000  0.000  0.000  1.52
Sr  0.000  0.000  0.668  0.02
Cl  0.304  0.304  0.667  0.00
Cl  0.302  0.302  0.000  0.00
Sr  0.500  0.500  0.168  0.02
Sr  0.500  0.500  0.832  0.02
Cl  0.698  0.698  0.000  0.00
Cl  0.198  0.802  0.500  0.00
Cl  0.696  0.696  0.667  0.00
Cl  0.804  0.196  0.167  0.00
Cl  0.196  0.804  0.167  0.00
Cl  0.196  0.804  0.833  0.00
Cl  0.696  0.696  0.333  0.00
Cl  0.802  0.198  0.500  0.00

---

Density functional theory data (PBE) for a relaxed structure of HfRh3Pb.

Computed properties:
D(E_F) = 4.43 states/eV/cell
SG = No. 221
Magnetic moment = 0.0000 μB/atom
VASP energy = -6.6084 eV per atom
Formation enthalpy at 0 K = 0.535 eV/atom
Relative energy among the computed polymorphs = 0 meV/atom

Unit cell a=4.822 b=4.822 c=4.822 alpha=90.00 beta=90.00 gamma=90.00
Fractional positions:
Rh  0.000  0.500  0.000
Hf  0.000  0.000  0.000
Rh  0.000  0.000  0.500
Rh  0.500  0.000  0.000
Pb  0.500  0.500  0.500

---

Density functional theory data (PBE) for a relaxed structure of RbBa2Mo.

Computed properties:
D(E_F) = 2.17 states/eV/cell
SG = No. 225
Magnetic moment = 0.7561 μB/atom
VASP energy = -2.9098 eV per atom
Formation enthalpy at 0 K = 1.001 eV/atom
Relative energy among the computed polymorphs = 0 meV/atom

Unit cell a=6.303 b=6.303 c=6.303 alpha=60.00 beta=60.00 gamma=60.00
Last column: magnetic moment on the atom in μB.
Fractional positions:
Ba  0.250  0.250  0.250  -0.08
Mo  0.500  0.500  0.500  3.03
Rb  0.000  0.000  0.000  -0.03
Ba  0.750  0.750  0.750  -0.08

---

Density functional theory data (PBE) for a relaxed structure of CaMnIr.

Computed properties:
D(E_F) = 3.65 states/eV/cell
SG = No. 51
Magnetic moment = 0.0000 μB/atom
VASP energy = -6.5767 eV per atom
Formation enthalpy at 0 K = 0.101 eV/atom
Relative energy among the computed polymorphs = 305 meV/atom

Unit cell a=6.770 b=3.905 c=4.649 alpha=90.00 beta=90.00 gamma=90.00
Fractional positions:
Ca  0.852  0.127  0.154
Mn  0.541  0.128  0.654
Ir  0.208  0.127  0.654
Mn  0.649  0.628  0.654
Ir  0.982  0.627  0.654
Ca  0.338  0.627  0.154

---

Density functional theory data (PBE) for a relaxed structure of CeTeO.

Computed properties:
D(E_F) = 2.45 states/eV/cell
SG = No. 139
Magnetic moment = 0.0354 μB/atom
ΔE_f (raw) = -6.0 eV/f.u.
VASP energy = -6.6823 eV per atom

Unit cell a=3.826 b=3.826 c=9.721 alpha=101.35 beta=101.35 gamma=90.00
Last column: magnetic moment on the atom in μB.
Fractional positions:
Ce  0.079  0.079  0.158  0.14
O  0.000  0.500  0.000  -0.01
Te  0.328  0.328  0.655  -0.01
Ce  0.921  0.921  0.842  0.14
O  0.500  0.000  0.000  -0.01
Te  0.672  0.672  0.345  -0.01

---

Density functional theory data (PBE) for a relaxed structure of ScInFe.

Computed properties:
D(E_F) = 0.67 states/eV/cell
SG = No. 107
Magnetic moment = 0.0118 μB/atom
VASP energy = -5.9337 eV per atom
Formation enthalpy at 0 K = -0.090 eV/atom

Unit cell a=5.459 b=5.458 c=3.257 alpha=72.65 beta=72.63 gamma=34.71
Last column: magnetic moment on the atom in μB.
Fractional positions:
In  0.350  0.350  0.650  -0.01
Fe  0.007  0.007  0.993  0.08
Sc  0.643  0.643  0.357  -0.03

---

no.,mass density (Mg/m³)
1,8.4
2,4.7
3,18.8
4,4.4
5,6.7
6,11.5
7,2.8
8,10.3
9,4.3
10,7.8
11,6.9
12,6.8